LaBeOs2 at its PBEsol-relaxed geometry. Source: Alexandria via LeMat-Bulk, functional meta-GGA SCAN.

a = 2.9379 Å, b = 4.2596 Å, c = 5.5207 Å
α = 90.00°, β = 102.27°, γ = 90.00°
Fractional coordinates of all 4 atoms:
Os1 0.6026 0.5000 0.2332
Os2 0.0153 0.0000 0.1086
La1 0.2425 0.5000 0.7246
Be1 0.6395 0.0000 0.4336

Calculated values
SG: Pm, No. 6
Calculated formation energy: 0.14 eV per atom
Magnetic moment: 0.0 Bohr magnetons per cell